# V2AsSe, optimized geometry, DFT PBE
data_V2AsSe
_chemical_formula_sum 'V6 As3 Se3'
_space_group_name_H-M_alt 'R 3 m'
_space_group_IT_number 160
_space_group_name_Hall 'R 3 -2"'
_cell_length_a 3.2729
_cell_length_b 3.2729
_cell_length_c 22.0180
_cell_angle_alpha 90.00
_cell_angle_beta 90.00
_cell_angle_gamma 120.00
loop_
_atom_site_label
_atom_site_type_symbol
_atom_site_fract_x
_atom_site_fract_y
_atom_site_fract_z
_atom_site_occupancy
V1 V 0.0000 0.0000 0.0000 1
V2 V 0.0000 0.0000 0.1475 1
As1 As 0.0000 0.0000 0.4033 1
Se1 Se 0.0000 0.0000 0.8865 1
# V = 204.3 Å³ per cell
# Total magnetic moment = 3.5 μB per cell
# Excess energy over the best structure of this formula in the dataset = 0 meV/atom
# Formation energy from raw total energies = -0.316 eV/atom
# DOS(E_F) = 8.54 states/eV/cell